First-principles (PBE) data for a geometry-optimized YCuGePt2 structure, as listed in Alexandria via LeMat-Bulk.

Values from the calculation:
Calculated formation energy in meV/atom: 936
Calculated volume in A^3/atom: 26.3
SG: No. 123
Raw total energy in eV/atom: -4.515

extended XYZ file:
```
5
Lattice="5.137 0.000 0.000 0.000 5.137 0.000 0.000 0.000 4.991" Properties=species:S:1:pos:R:3 pbc="T T T"
Y 0.000 0.000 0.000
Cu 0.000 0.000 2.496
Ge 2.568 2.568 2.496
Pt 0.000 2.568 0.000
Pt 2.568 0.000 0.000
```

***

First-principles (PBE) data for a geometry-optimized YCuGePt3 structure, as listed in Alexandria via LeMat-Bulk.

Values from the calculation:
Calculated formation energy in meV/atom: -551
Calculated volume in A^3/atom: 18.5
SG: No. 63
Raw total energy in eV/atom: -6.101

extended XYZ file:
```
12
Lattice="3.386 -5.803 0.000 3.386 5.803 0.000 0.000 0.000 5.641" Properties=species:S:1:pos:R:3 pbc="T T T"
Y 3.386 3.484 4.231
Y 3.386 -3.484 1.410
Cu 3.386 0.765 4.231
Cu 3.386 -0.765 1.410
Ge 3.386 4.287 1.410
Ge 3.386 -4.287 4.231
Pt 1.450 0.000 0.000
Pt 1.450 0.000 2.821
Pt 3.386 1.901 1.410
Pt 3.386 -1.901 4.231
Pt 5.322 0.000 0.000
Pt 5.322 0.000 2.821
```